Record 1
# RbCd3Pd

RbCd3Pd after structural relaxation (PBE, Alexandria).

Unit cell a=4.6126 b=4.6126 c=21.5037 alpha=90.00 beta=90.00 gamma=120.00
Space group P6_3/mmc (No. 194)
Unique sites:
Rb 0.0000 0.0000 0.0000
Cd 0.0000 0.0000 0.2500
Cd 0.3333 0.6667 0.1259
Pd 0.3333 0.6667 0.2500

Properties
The crystal system is hexagonal. The formation energy comes out at 0.1231 eV/atom. Its total magnetization is 0.00 μB per cell. The value obtained for the calculated total energy is -1.6580 eV/atom. Its distance to the lowest polymorph of the same formula is 1.583 eV/f.u.

=====

Record 2
# Rb2SbH

Rb2SbH after structural relaxation (PBE, Alexandria).

Unit cell a=8.601 b=8.601 c=8.601 alpha=90.00 beta=90.00 gamma=90.00
Space group Fm-3m (No. 225)
Unique sites:
Rb 0.250 0.250 0.250
Sb 0.000 0.000 0.000
H 0.000 0.000 0.500

Properties
The crystal system is cubic. Its total magnetization is 8.00 μB per cell. The value obtained for the calculated total energy is -2.1215 eV/atom. Its distance to the lowest polymorph of the same formula is 2.191 eV/f.u.

=====

Record 3
# La3Pt5

La3Pt5 after structural relaxation (PBE, Alexandria).

Unit cell a=7.383 b=9.353 c=5.158 alpha=90.00 beta=90.00 gamma=90.00
Space group Cmmm (No. 65)
Unique sites:
La 0.000 0.000 0.000
La 0.000 0.299 0.500
Pt 0.000 0.500 0.000
Pt 0.199 0.000 0.500
Pt 0.250 0.250 0.000

Properties
The crystal system is orthorhombic. The formation energy comes out at -0.9875 eV/atom. Its total magnetization is 0.00 μB per cell. The value obtained for the calculated total energy is -6.6108 eV/atom. Its distance to the lowest polymorph of the same formula is 0.329 eV/f.u.

=====

Record 4
# Ac2AgPd6Pb

Ac2AgPd6Pb after structural relaxation (PBE, Alexandria).

Unit cell a=5.602 b=6.928 c=6.995 alpha=83.08 beta=66.44 gamma=66.20
Space group P-1 (No. 2)
Unique sites:
Ac 0.237 0.234 0.293
Ag 0.500 0.500 0.500
Pd 0.239 0.770 0.264
Pd 0.255 0.566 0.928
Pd 0.270 0.232 0.737
Pb 0.000 0.000 0.000

Properties
The crystal system is triclinic. The formation energy comes out at -0.5123 eV/atom. Its total magnetization is 0.00 μB per cell. The value obtained for the calculated total energy is -5.1056 eV/atom.

=====

Record 5
# HBr

HBr after structural relaxation (PBE, Alexandria).

Unit cell a=4.167 b=4.171 c=4.175 alpha=70.66 beta=71.14 gamma=71.56
Space group P1 (No. 1)
Unique sites:
H 0.000 0.000 0.000
Br 0.158 0.155 0.153

Properties
The crystal system is triclinic. Its total magnetization is 0.00 μB per cell. The value obtained for the calculated total energy is -2.7287 eV/atom.

=====

Record 6
# Pm2Dy6Y3Zr

Pm2Dy6Y3Zr after structural relaxation (PBE, Alexandria).

Unit cell a=6.125 b=10.592 c=11.708 alpha=90.00 beta=99.95 gamma=90.00
Space group C2/m (No. 12)
Unique sites:
Pm 0.000 0.167 0.000
Dy 0.244 0.500 0.755
Dy 0.245 0.337 0.246
Y 0.000 0.000 0.500
Y 0.000 0.334 0.500
Zr 0.000 0.500 0.000

Properties
The crystal system is monoclinic. The formation energy comes out at 0.0517 eV/atom. Its total magnetization is 0.00 μB per cell. The value obtained for the calculated total energy is -5.3695 eV/atom.